[1]
# BeAgIr2 GGA-PBE relaxed
data_BeAgIr2
_cell_length_a 2.787
_cell_length_b 2.787
_cell_length_c 7.024
_cell_angle_alpha 90.00
_cell_angle_beta 90.00
_cell_angle_gamma 90.00
_symmetry_space_group_name_H-M 'P 4 m m'
_symmetry_Int_Tables_number 99
_symmetry_space_group_name_Hall 'P 4 -2'
loop_
_atom_site_label
_atom_site_type_symbol
_atom_site_fract_x
_atom_site_fract_y
_atom_site_fract_z
Be1 Be 0.000 0.000 0.000
Ag1 Ag 0.500 0.500 0.761
Ir1 Ir 0.000 0.000 0.455
Ir2 Ir 0.500 0.500 0.187
# Total DFT energy (no corrections)   -0.2233 Ha/atom
# Crystal system   tetragonal
# ΔH_f (0 K)   -0.0010 eV per atom
# ρ   15.261 g/cm3
# N(E_F)   0.818 states/eV/atom

***

[2]
# BeAgIr2 GGA-PBE relaxed
data_BeAgIr2
_cell_length_a 2.825
_cell_length_b 4.611
_cell_length_c 8.633
_cell_angle_alpha 90.00
_cell_angle_beta 90.00
_cell_angle_gamma 90.00
_symmetry_space_group_name_H-M 'C m m m'
_symmetry_Int_Tables_number 65
_symmetry_space_group_name_Hall '-C 2 2'
loop_
_atom_site_label
_atom_site_type_symbol
_atom_site_fract_x
_atom_site_fract_y
_atom_site_fract_z
Be1 Be 0.000 0.000 0.000
Ag1 Ag 0.000 0.000 0.500
Ir1 Ir 0.000 0.500 0.209
# Total DFT energy (no corrections)   -0.2222 Ha/atom
# Crystal system   orthorhombic
# ΔH_f (0 K)   0.0277 eV per atom
# ρ   14.804 g/cm3
# N(E_F)   1.062 states/eV/atom

***

[3]
# BeAg2Ir2 GGA-PBE relaxed
data_BeAg2Ir2
_cell_length_a 5.824
_cell_length_b 5.824
_cell_length_c 4.473
_cell_angle_alpha 90.00
_cell_angle_beta 90.00
_cell_angle_gamma 90.00
_symmetry_space_group_name_H-M 'P 4/m b m'
_symmetry_Int_Tables_number 127
_symmetry_space_group_name_Hall '-P 4 2ab'
loop_
_atom_site_label
_atom_site_type_symbol
_atom_site_fract_x
_atom_site_fract_y
_atom_site_fract_z
Be1 Be 0.000 0.000 0.000
Ag1 Ag 0.157 0.343 0.000
Ir1 Ir 0.163 0.663 0.500
# Total DFT energy (no corrections)   -0.1735 Ha/atom
# Crystal system   tetragonal
# ΔH_f (0 K)   0.7084 eV per atom
# ρ   13.337 g/cm3
# N(E_F)   0.821 states/eV/atom

***

[4]
# BeAgIr2 GGA-PBE relaxed
data_BeAgIr2
_cell_length_a 8.956
_cell_length_b 2.759
_cell_length_c 5.350
_cell_angle_alpha 90.00
_cell_angle_beta 120.71
_cell_angle_gamma 90.00
_symmetry_space_group_name_H-M 'C 1 m 1'
_symmetry_Int_Tables_number 8
_symmetry_space_group_name_Hall 'C -2y'
loop_
_atom_site_label
_atom_site_type_symbol
_atom_site_fract_x
_atom_site_fract_y
_atom_site_fract_z
Be1 Be 0.000 0.000 0.000
Ag1 Ag 0.240 0.500 0.024
Ir1 Ir 0.078 0.500 0.401
Ir2 Ir 0.365 0.000 0.590
# Total DFT energy (no corrections)   -0.2208 Ha/atom
# Crystal system   monoclinic
# ΔH_f (0 K)   0.0653 eV per atom
# ρ   14.648 g/cm3
# N(E_F)   0.647 states/eV/atom

***

[5]
# BeAgIr2 GGA-PBE relaxed
data_BeAgIr2
_cell_length_a 2.7391
_cell_length_b 2.7391
_cell_length_c 25.6947
_cell_angle_alpha 90.00
_cell_angle_beta 90.00
_cell_angle_gamma 120.00
_symmetry_space_group_name_H-M 'R -3 m'
_symmetry_Int_Tables_number 166
_symmetry_space_group_name_Hall '-R 3 2"'
loop_
_atom_site_label
_atom_site_type_symbol
_atom_site_fract_x
_atom_site_fract_y
_atom_site_fract_z
Be1 Be 0.0000 0.0000 0.0000
Ag1 Ag 0.0000 0.0000 0.5000
Ir1 Ir 0.0000 0.0000 0.2635
# Total DFT energy (no corrections)   -0.2238 Ha/atom
# Crystal system   trigonal
# ΔH_f (0 K)   -0.0154 eV per atom
# ρ   14.959 g/cm3
# N(E_F)   1.286 states/eV/atom

***

[6]
# Be2AgIr GGA-PBE relaxed
data_Be2AgIr
_cell_length_a 2.816
_cell_length_b 4.565
_cell_length_c 8.097
_cell_angle_alpha 90.00
_cell_angle_beta 90.00
_cell_angle_gamma 90.00
_symmetry_space_group_name_H-M 'C m m 2'
_symmetry_Int_Tables_number 35
_symmetry_space_group_name_Hall 'C 2 -2'
loop_
_atom_site_label
_atom_site_type_symbol
_atom_site_fract_x
_atom_site_fract_y
_atom_site_fract_z
Be1 Be 0.000 0.000 0.000
Be2 Be 0.000 0.500 0.220
Ag1 Ag 0.000 0.500 0.751
Ir1 Ir 0.000 0.000 0.436
# Total DFT energy (no corrections)   -0.1678 Ha/atom
# Crystal system   orthorhombic
# ΔH_f (0 K)   0.2241 eV per atom
# ρ   10.149 g/cm3
# N(E_F)   0.588 states/eV/atom